{"formula": "Ba3Mg2Cd2In4", "functional": "PBE", "state": "relaxed", "space_group": "P-3m1, No. 164", "volume_a3_per_atom": 33.3, "rho_g_cm3": 5.18, "formation_enthalpy_0k_kj_per_mol_fu": -252, "lattice": [[5.306, 0.000, 0.000], [-2.653, 4.595, 0.000], [0.000, 0.000, 15.037]], "species": ["In", "Cd", "Ba", "In", "Ba", "Ba", "In", "Cd", "In", "Mg", "Mg"], "frac_coords": [[0.333, 0.667, 0.377], [0.333, 0.667, 0.153], [0.000, 0.000, 0.723], [0.667, 0.333, 0.623], [0.000, 0.000, 0.000], [0.000, 0.000, 0.277], [0.333, 0.667, 0.857], [0.667, 0.333, 0.847], [0.667, 0.333, 0.143], [0.333, 0.667, 0.569], [0.667, 0.333, 0.431]]}


{"formula": "Ac3Ge3Pt2", "functional": "PBE", "state": "relaxed", "space_group": "Cmcm, No. 63", "volume_a3_per_atom": 26.3, "rho_g_cm3": 10.18, "formation_enthalpy_0k_kj_per_mol_fu": -754, "lattice": [[-0.601, -0.951, -4.315], [-3.627, -3.531, 3.587], [-11.769, 11.238, -0.838]], "species": ["Pt", "Ac", "Ge", "Ac", "Ge", "Pt", "Ac", "Ac", "Pt", "Ac", "Ac", "Ge", "Ge", "Pt", "Ge", "Ge"], "frac_coords": [[0.854, 0.709, 0.621], [0.575, 0.149, 0.250], [0.583, 0.167, 0.450], [0.144, 0.287, 0.908], [0.417, 0.833, 0.950], [0.146, 0.291, 0.379], [0.425, 0.851, 0.750], [0.144, 0.287, 0.592], [0.854, 0.709, 0.879], [0.856, 0.713, 0.408], [0.856, 0.713, 0.092], [0.714, 0.428, 0.750], [0.583, 0.167, 0.050], [0.146, 0.291, 0.121], [0.286, 0.572, 0.250], [0.417, 0.833, 0.550]]}